Compound: LiAlSb2Te
Source: Alexandria via LeMat-Bulk
Functional: GGA-PBE
Structure: relaxed

a = 5.2849 Å, b = 5.2849 Å, c = 5.5829 Å
α = 90.00°, β = 90.00°, γ = 90.00°
Last column: nearest neighbours and their distance in Å.
Space group P4/mmm (No. 123)
Unique sites:
Li: 0.0000 0.0000 0.0000 (multiplicity 1)  4 Te 3.74, 8 Sb 3.84
Al: 0.5000 0.5000 0.5000 (multiplicity 1)  4 Sb 2.64, 2 Te 2.79
Sb: 0.0000 0.5000 0.5000 (multiplicity 2)  2 Al 2.64
Te: 0.5000 0.5000 0.0000 (multiplicity 1)  2 Al 2.79

Properties
Total magnetization (μB per cell): 0.0
E above lowest polymorph (eV per atom): 0.000
E_tot (eV per atom): -3.16

Compound: Nb2MoSe6
Source: Alexandria via LeMat-Bulk
Functional: GGA-PBE
Structure: relaxed

a = 6.3001 Å, b = 6.4004 Å, c = 10.8301 Å
α = 90.00°, β = 120.44°, γ = 90.00°
Last column: nearest neighbours and their distance in Å.
Space group P2_1/c (No. 14)
Unique sites:
Nb: 0.1811 0.1494 0.2578 (multiplicity 4)  6 Se 2.52-2.80
Mo: 0.0000 0.0000 0.5000 (multiplicity 2)  6 Se 2.52-2.60
Se: 0.1117 0.1439 0.9322 (multiplicity 4)  2 Nb 2.52-2.70, 1 Mo 2.60
Se: 0.2639 0.6874 0.9144 (multiplicity 4)  1 Mo 2.57, 2 Nb 2.63-2.67
Se: 0.4021 0.0225 0.7335 (multiplicity 4)  1 Mo 2.52, 2 Nb 2.61-2.80

Properties
Total magnetization (μB per cell): 0.0
E above lowest polymorph (eV per atom): 0.280
E_tot (eV per atom): -6.22

Compound: Sr2BrCl
Source: Alexandria via LeMat-Bulk
Functional: GGA-PBE
Structure: relaxed

a = 4.1017 Å, b = 4.1017 Å, c = 26.3427 Å
α = 90.00°, β = 90.00°, γ = 120.00°
Last column: nearest neighbours and their distance in Å.
Space group R-3m (No. 166, hexagonal axes)
Unique sites:
Sr: 0.0000 0.0000 0.2463 (multiplicity 6)  3 Cl 3.16, 3 Br 3.30
Br: 0.0000 0.0000 0.0000 (multiplicity 3)  6 Sr 3.30
Cl: 0.0000 0.0000 0.5000 (multiplicity 3)  6 Sr 3.16

Properties
Total magnetization (μB per cell): 0.0
E above lowest polymorph (eV per atom): 0.155
E_tot (eV per atom): -3.17

Compound: SrGeCl2O
Source: Alexandria via LeMat-Bulk
Functional: GGA-PBE
Structure: relaxed

a = 5.4022 Å, b = 5.4022 Å, c = 7.7952 Å
α = 90.00°, β = 90.00°, γ = 90.00°
Last column: nearest neighbours and their distance in Å.
Space group P4/mmm (No. 123)
Unique sites:
Sr: 0.0000 0.0000 0.0000 (multiplicity 1)  4 Cl 2.70
Ge: 0.0000 0.0000 0.5000 (multiplicity 1)  4 O 3.82, 2 Sr 3.90
Cl: 0.0000 0.5000 0.0000 (multiplicity 2)  2 Sr 2.70
O: 0.5000 0.5000 0.5000 (multiplicity 1)  4 Ge 3.82

Properties
Total magnetization (μB per cell): 0.0
E_tot (eV per atom): -3.18